Entry 1:
Entry from Alexandria: an optimized crystal structure of PaTi2Au (PBE).

The space group is P4/mmm (No. 123) and the conventional cell measures 3.387, 3.387 and 6.511 Å, with angles of 90.00, 90.00 and 90.00 degrees. The inequivalent atoms are Pa at (0.000, 0.000, 0.000), Ti at (0.500, 0.500, 0.252) and Au at (0.000, 0.000, 0.500).

The value obtained for the energy of formation is -0.142 eV/atom. The mass density is 11646 kg/m3. For the density of states at the Fermi level, the calculation gives 1.164 states/eV/atom.



Entry 2:
Entry from Alexandria: an optimized crystal structure of PaTi2Au (PBE).

The space group is R3m (No. 160, hexagonal axes) and the conventional cell measures 4.8115, 4.8115 and 11.7677 Å, with angles of 90.00, 90.00 and 120.00 degrees. The inequivalent atoms are Pa at (0.0000, 0.0000, 0.0000), Ti at (0.0000, 0.0000, 0.5004), Ti at (0.0000, 0.0000, 0.7506) and Au at (0.0000, 0.0000, 0.2503).

The value obtained for the energy of formation is -0.028 eV/atom. The mass density is 11059 kg/m3. For the density of states at the Fermi level, the calculation gives 0.665 states/eV/atom.



Number 1: E above lowest polymorph 0.039 eV/f.u.. Number 2: E above lowest polymorph 0.495 eV/f.u..